Entry 1:
DFT (GGA-PBE) results for a relaxed YbCd2As2 crystal.

Structure (POSCAR):
```
YbCd2As2
1.0
4.436 0.000 0.000
-2.218 3.842 0.000
0.000 0.000 7.149
Yb Cd As
1 2 2
direct
0.000 0.000 0.000
0.333 0.667 0.636
0.667 0.333 0.364
0.333 0.667 0.232
0.667 0.333 0.768
```

Calculated values
**Total DFT energy (no corrections)**: -3.155 eV per atom
**Theoretical density**: 7.46 Mg/m³
**M_tot**: 0.0 μB/cell

***

Entry 2:
DFT (GGA-PBE) results for a relaxed ZnCdAs2 crystal.

Structure (POSCAR):
```
ZnCdAs2
1.0
0.000 3.406 3.406
3.406 0.000 3.406
3.406 3.406 0.000
Zn Cd As
1 1 2
direct
0.000 0.000 0.000
0.500 0.500 0.500
0.250 0.250 0.250
0.750 0.750 0.750
```

Calculated values
**Total DFT energy (no corrections)**: -2.567 eV per atom
**Theoretical density**: 6.88 Mg/m³
**M_tot**: 0.0 μB/cell

***

Entry 3:
DFT (GGA-PBE) results for a relaxed ZnCdAs2 crystal.

Structure (POSCAR):
```
ZnCdAs2
1.0
3.648 -3.651 0.000
3.648 3.651 0.000
0.000 0.000 2.966
Zn Cd As
1 1 2
direct
0.000 0.000 0.000
0.500 0.500 0.000
0.000 0.500 0.500
0.500 0.000 0.500
```

Calculated values
**Total DFT energy (no corrections)**: -2.617 eV per atom
**Theoretical density**: 6.89 Mg/m³
**M_tot**: 0.0 μB/cell

***

Entry 4:
DFT (GGA-PBE) results for a relaxed ZnCdAs2 crystal.

Structure (POSCAR):
```
ZnCdAs2
1.0
-1.946 2.518 4.097
1.946 -2.518 4.097
1.946 2.518 -4.097
Zn Cd As
1 1 2
direct
0.000 0.000 0.000
0.500 0.500 0.000
0.217 0.717 0.500
0.783 0.283 0.500
```

Calculated values
**Total DFT energy (no corrections)**: -2.666 eV per atom
**Theoretical density**: 6.77 Mg/m³
**M_tot**: 0.0 μB/cell

***

Entry 5:
DFT (GGA-PBE) results for a relaxed Zn2CdAs2 crystal.

Structure (POSCAR):
```
Zn2CdAs2
1.0
-1.973 1.973 6.629
1.973 -1.973 6.629
1.973 1.973 -6.629
Zn Cd As
2 1 2
direct
0.250 0.750 0.500
0.750 0.250 0.500
0.000 0.000 0.000
0.377 0.377 0.000
0.623 0.623 0.000
```

Calculated values
**Total DFT energy (no corrections)**: -2.505 eV per atom
**Theoretical density**: 6.33 Mg/m³
**M_tot**: 0.0 μB/cell

***

Entry 6:
DFT (GGA-PBE) results for a relaxed ZnCdAs2 crystal.

Structure (POSCAR):
```
ZnCdAs2
1.0
3.487 0.000 0.000
0.000 3.487 0.000
0.000 0.000 7.445
Zn Cd As
1 1 2
direct
0.000 0.000 0.000
0.500 0.500 0.825
0.000 0.000 0.337
0.500 0.500 0.455
```

Calculated values
**Total DFT energy (no corrections)**: -2.772 eV per atom
**Theoretical density**: 6.01 Mg/m³
**M_tot**: 0.0 μB/cell